IrOs2PtN | PBE-GGA | relaxed

Cell: 3.9935 3.9935 4.2765 Å, 90.00 90.00 90.00°
Last column: nearest neighbours and their distance in Å.
Element x y z (fractional)
Ir: 0.0000 0.0000 0.0000  4 Pt 2.82, 8 Os 2.93
Os: 0.0000 0.5000 0.5000  2 N 2.00
Os: 0.5000 0.0000 0.5000  2 N 2.00
Pt: 0.5000 0.5000 0.0000  2 N 2.14
N: 0.5000 0.5000 0.5000  4 Os 2.00, 2 Pt 2.14

Output
Total moment ... 0.00 μB/atom
Total energy ... -41.7 eV/cell
Space-group type ... P4/mmm
Density of states at the Fermi level ... 1.59 states/eV per atom
Formation energy from raw total energies ... 0.8017 eV/atom